1.
CaPm3Zn4 | GGA-PBE | relaxed

Lattice parameters (Å, degrees): 5.163 5.163 7.362 90.00 90.00 90.00
Element x y z (fractional)
Ca (0.000, 0.000, 0.000)
Pm (0.000, 0.000, 0.500)
Pm (0.500, 0.500, 0.000)
Pm (0.500, 0.500, 0.500)
Zn (0.000, 0.500, 0.251)
Zn (0.000, 0.500, 0.749)
Zn (0.500, 0.000, 0.251)
Zn (0.500, 0.000, 0.749)

Results
N(E_F), states/eV/atom: 0.9014
VASP energy, eV/atom: -2.970

=====

2.
SrMo3Rh | GGA-PBE | relaxed

Lattice parameters (Å, degrees): 4.863 4.863 4.863 90.00 90.00 90.00
Element x y z (fractional)
Sr (0.000, 0.000, 0.000)
Mo (0.000, 0.500, 0.500)
Mo (0.500, 0.000, 0.500)
Mo (0.500, 0.500, 0.000)
Rh (0.500, 0.500, 0.500)

Results
N(E_F), states/eV/atom: 1.0516
VASP energy, eV/atom: -6.938

=====

3.
Nd5Cd2Pb | GGA-PBE | relaxed

Lattice parameters (Å, degrees): 9.580 9.580 9.580 129.87 129.87 73.61
Element x y z (fractional)
Nd (0.000, 0.000, 0.000)
Nd (0.006, 0.506, 0.821)
Nd (0.186, 0.006, 0.500)
Nd (0.314, 0.814, 0.821)
Nd (0.494, 0.314, 0.500)
Nd (0.500, 0.500, 0.000)
Nd (0.506, 0.686, 0.500)
Nd (0.686, 0.186, 0.179)
Nd (0.814, 0.994, 0.500)
Nd (0.994, 0.494, 0.179)
Cd (0.129, 0.371, 0.500)
Cd (0.371, 0.871, 0.242)
Cd (0.629, 0.129, 0.758)
Cd (0.871, 0.629, 0.500)
Pb (0.250, 0.250, 0.000)
Pb (0.750, 0.750, 0.000)

Results
N(E_F), states/eV/atom: 1.2467
VASP energy, eV/atom: -3.951

=====

4.
CaUSe2O8 | GGA-PBE | relaxed

Lattice parameters (Å, degrees): 5.681 6.764 11.294 102.80 93.75 111.44
Element x y z (fractional)
Ca (0.177, 0.237, 0.428)
Ca (0.823, 0.763, 0.572)
U (0.328, 0.742, 0.835)
U (0.672, 0.258, 0.165)
Se (0.186, 0.189, 0.877)
Se (0.236, 0.702, 0.354)
Se (0.764, 0.298, 0.646)
Se (0.814, 0.811, 0.123)
O (0.050, 0.652, 0.910)
O (0.053, 0.534, 0.657)
O (0.159, 0.890, 0.454)
O (0.169, 0.983, 0.751)
O (0.383, 0.423, 0.841)
O (0.397, 0.130, 0.971)
O (0.398, 0.174, 0.249)
O (0.425, 0.625, 0.441)
O (0.575, 0.375, 0.559)
O (0.602, 0.826, 0.751)
O (0.603, 0.870, 0.029)
O (0.617, 0.577, 0.159)
O (0.831, 0.017, 0.249)
O (0.841, 0.110, 0.546)
O (0.947, 0.466, 0.343)
O (0.950, 0.348, 0.090)

Results
Formation energy without anion corrections, meV/atom: -2026
N(E_F), states/eV/atom: 0.0000
VASP energy, eV/atom: -7.019

=====

5.
LiAg5Au6 | GGA-PBE | relaxed

Lattice parameters (Å, degrees): 4.039 7.763 7.788 65.16 75.29 74.98
Element x y z (fractional)
Li (0.000, 0.000, 0.000)
Ag (0.000, 0.500, 0.500)
Ag (0.334, 0.667, 0.666)
Ag (0.336, 0.164, 0.164)
Ag (0.664, 0.836, 0.836)
Ag (0.666, 0.333, 0.334)
Au (0.165, 0.082, 0.588)
Au (0.166, 0.587, 0.082)
Au (0.500, 0.243, 0.757)
Au (0.500, 0.757, 0.243)
Au (0.834, 0.413, 0.918)
Au (0.835, 0.918, 0.412)

Results
N(E_F), states/eV/atom: 0.3331
VASP energy, eV/atom: -3.116

=====

6.
Sr2Ca2Sb | GGA-PBE | relaxed

Lattice parameters (Å, degrees): 8.576 8.576 6.162 90.00 90.00 90.00
Element x y z (fractional)
Sr (0.159, 0.341, 0.000)
Sr (0.341, 0.841, 0.000)
Sr (0.659, 0.159, 0.000)
Sr (0.841, 0.659, 0.000)
Ca (0.159, 0.659, 0.500)
Ca (0.341, 0.159, 0.500)
Ca (0.659, 0.841, 0.500)
Ca (0.841, 0.341, 0.500)
Sb (0.000, 0.000, 0.000)
Sb (0.500, 0.500, 0.000)

Results
Formation energy without anion corrections, meV/atom: -163
N(E_F), states/eV/atom: 1.3388
VASP energy, eV/atom: -2.460

=====

7.
Tb6Cd5Pd | GGA-PBE | relaxed

Lattice parameters (Å, degrees): 8.309 8.309 7.429 90.00 90.00 143.14
Element x y z (fractional)
Tb (0.000, 0.000, 0.237)
Tb (0.000, 0.000, 0.763)
Tb (0.341, 0.659, 0.244)
Tb (0.341, 0.659, 0.756)
Tb (0.659, 0.341, 0.244)
Tb (0.659, 0.341, 0.756)
Cd (0.171, 0.829, 0.500)
Cd (0.175, 0.825, 0.000)
Cd (0.500, 0.500, 0.500)
Cd (0.825, 0.175, 0.000)
Cd (0.829, 0.171, 0.500)
Pd (0.500, 0.500, 0.000)

Results
N(E_F), states/eV/atom: 0.8630
VASP energy, eV/atom: -3.531

=====

8.
Be2CdSi | GGA-PBE | relaxed

Lattice parameters (Å, degrees): 2.804 2.804 7.102 90.00 90.00 90.00
Element x y z (fractional)
Be (0.000, 0.000, 0.000)
Be (0.500, 0.500, 0.153)
Cd (0.000, 0.000, 0.416)
Si (0.500, 0.500, 0.794)

Results
Formation energy without anion corrections, meV/atom: 451
N(E_F), states/eV/atom: 0.5349
VASP energy, eV/atom: -2.997